The following is a DFT calculation (PBE) of a geometry-optimized Tb8Y3Sc2 structure.

## Properties
- E_tot (eV per cell) = -66.10
- ΔH_f (0 K) (eV per atom) = 0.231

Unit cell a=5.591 b=7.683 c=10.482 alpha=111.50 beta=90.02 gamma=90.00
Positions (direct):
Tb1 0.001 0.676 0.353
Tb2 0.999 0.324 0.647
Tb3 0.000 0.135 0.271
Tb4 0.000 0.865 0.729
Tb5 0.500 0.596 0.775
Tb6 0.500 0.180 0.775
Tb7 0.500 0.820 0.225
Tb8 0.500 0.404 0.225
Y1 0.500 0.000 0.000
Y2 0.000 0.287 0.000
Y3 0.000 0.713 0.000
Sc1 0.499 0.241 0.481
Sc2 0.501 0.759 0.519